(1)
This record from the Alexandria database describes NpTl3Co2O6 after structural relaxation. The functional is GGA+U.

For the mass density, the calculation gives 9.48 g/cm³.

a = 5.5540 Å, b = 9.6222 Å, c = 7.2215 Å
α = 90.00°, β = 105.11°, γ = 90.00°
Space group C2/m (No. 12)
Symmetry-distinct sites (fractional):
Np1 0.0000 0.0000 0.0000 (multiplicity 2)
Tl1 0.0000 0.1679 0.5000 (multiplicity 4)
Tl2 0.0000 0.5000 0.5000 (multiplicity 2)
Co1 0.0000 0.3333 0.0000 (multiplicity 4)
O1 0.2152 0.1627 0.1545 (multiplicity 8)
O2 0.2272 0.5000 0.1544 (multiplicity 4)



(2)
This record from the Alexandria database describes NpTlCoO6 after structural relaxation. The functional is GGA+U.

For the mass density, the calculation gives 8.55 g/cm³.

a = 5.2073 Å, b = 5.2073 Å, c = 4.9310 Å
α = 90.00°, β = 90.00°, γ = 120.00°
Space group P312 (No. 149)
Symmetry-distinct sites (fractional):
Np1 0.0000 0.0000 0.0000 (multiplicity 1)
Tl1 0.3333 0.6667 0.5000 (multiplicity 1)
Co1 0.6667 0.3333 0.0000 (multiplicity 1)
O1 0.3518 0.0329 0.2229 (multiplicity 6)



(3)
This record from the Alexandria database describes NpTlCo2O8 after structural relaxation. The functional is GGA+U.

For the mass density, the calculation gives 7.12 g/cm³.

a = 6.8905 Å, b = 6.8905 Å, c = 6.7549 Å
α = 90.00°, β = 90.00°, γ = 90.00°
Space group I-4m2 (No. 119)
Symmetry-distinct sites (fractional):
Np1 0.0000 0.0000 0.0000 (multiplicity 2)
Tl1 0.0000 0.5000 0.7500 (multiplicity 2)
Co1 0.0000 0.0000 0.5000 (multiplicity 2)
Co2 0.0000 0.5000 0.2500 (multiplicity 2)
O1 0.0000 0.1845 0.6860 (multiplicity 8)
O2 0.0000 0.2826 0.0660 (multiplicity 8)



(4)
This record from the Alexandria database describes TmNpCo2O8 after structural relaxation. The functional is GGA+U.

For the mass density, the calculation gives 6.94 g/cm³.

a = 6.8608 Å, b = 6.8608 Å, c = 6.6249 Å
α = 90.00°, β = 90.00°, γ = 90.00°
Space group I-4m2 (No. 119)
Symmetry-distinct sites (fractional):
Tm1 0.0000 0.0000 0.0000 (multiplicity 2)
Np1 0.0000 0.5000 0.2500 (multiplicity 2)
Co1 0.0000 0.0000 0.5000 (multiplicity 2)
Co2 0.0000 0.5000 0.7500 (multiplicity 2)
O1 0.0000 0.2103 0.3053 (multiplicity 8)
O2 0.0000 0.3132 0.9354 (multiplicity 8)



(5)
This record from the Alexandria database describes TmNpCoO6 after structural relaxation. The functional is GGA+U.

For the mass density, the calculation gives 7.92 g/cm³.

a = 5.5824 Å, b = 5.5824 Å, c = 8.7114 Å
α = 90.00°, β = 90.00°, γ = 120.00°
Space group P-31c (No. 163)
Symmetry-distinct sites (fractional):
Tm1 0.3333 0.6667 0.2500 (multiplicity 2)
Np1 0.3333 0.6667 0.7500 (multiplicity 2)
Co1 0.0000 0.0000 0.0000 (multiplicity 2)
O1 0.0262 0.3487 0.6286 (multiplicity 12)



(6)
This record from the Alexandria database describes Tm2NpCoO8 after structural relaxation. The functional is GGA+U.

For the mass density, the calculation gives 7.81 g/cm³.

a = 6.7251 Å, b = 7.1262 Å, c = 6.7624 Å
α = 90.00°, β = 90.00°, γ = 90.00°
Space group Cmmm (No. 65)
Symmetry-distinct sites (fractional):
Tm1 0.0000 0.0000 0.2385 (multiplicity 4)
Np1 0.0000 0.5000 0.5000 (multiplicity 2)
Co1 0.0000 0.5000 0.0000 (multiplicity 2)
O1 0.0000 0.3151 0.2707 (multiplicity 8)
O2 0.2007 0.0000 0.5000 (multiplicity 4)
O3 0.2251 0.0000 0.0000 (multiplicity 4)



(7)
This record from the Alexandria database describes NpVCo2O8 after structural relaxation. The functional is GGA+U.

For the mass density, the calculation gives 6.21 g/cm³.

a = 6.3644 Å, b = 6.3644 Å, c = 7.0531 Å
α = 90.00°, β = 90.00°, γ = 90.00°
Space group I-4m2 (No. 119)
Symmetry-distinct sites (fractional):
Np1 0.0000 0.0000 0.0000 (multiplicity 2)
V1 0.0000 0.5000 0.7500 (multiplicity 2)
Co1 0.0000 0.0000 0.5000 (multiplicity 2)
Co2 0.0000 0.5000 0.2500 (multiplicity 2)
O1 0.0000 0.2179 0.6880 (multiplicity 8)
O2 0.0000 0.3022 0.0471 (multiplicity 8)



(8)
This record from the Alexandria database describes NpVCoO6 after structural relaxation. The functional is GGA+U.

For the mass density, the calculation gives 6.82 g/cm³.

a = 5.2992 Å, b = 5.2992 Å, c = 8.8614 Å
α = 90.00°, β = 90.00°, γ = 120.00°
Space group P-31c (No. 163)
Symmetry-distinct sites (fractional):
Np1 0.3333 0.6667 0.2500 (multiplicity 2)
V1 0.3333 0.6667 0.7500 (multiplicity 2)
Co1 0.0000 0.0000 0.0000 (multiplicity 2)
O1 0.0154 0.3540 0.6328 (multiplicity 12)



(9)
This record from the Alexandria database describes NpV2CoO8 after structural relaxation. The functional is GGA+U.

For the mass density, the calculation gives 6.59 g/cm³.

a = 6.6420 Å, b = 6.6533 Å, c = 5.9960 Å
α = 90.00°, β = 90.00°, γ = 90.00°
Space group Cmmm (No. 65)
Symmetry-distinct sites (fractional):
Np1 0.0000 0.0000 0.0000 (multiplicity 2)
V1 0.0000 0.5000 0.2750 (multiplicity 4)
Co1 0.0000 0.0000 0.5000 (multiplicity 2)
O1 0.0000 0.1998 0.2663 (multiplicity 8)
O2 0.1876 0.5000 0.0000 (multiplicity 4)
O3 0.2068 0.5000 0.5000 (multiplicity 4)



(10)
This record from the Alexandria database describes YNpCo2O8 after structural relaxation. The functional is GGA+U.

For the mass density, the calculation gives 6.08 g/cm³.

a = 6.8388 Å, b = 6.8388 Å, c = 6.6738 Å
α = 90.00°, β = 90.00°, γ = 90.00°
Space group I-4m2 (No. 119)
Symmetry-distinct sites (fractional):
Y1 0.0000 0.0000 0.0000 (multiplicity 2)
Np1 0.0000 0.5000 0.2500 (multiplicity 2)
Co1 0.0000 0.0000 0.5000 (multiplicity 2)
Co2 0.0000 0.5000 0.7500 (multiplicity 2)
O1 0.0000 0.2065 0.2991 (multiplicity 8)
O2 0.0000 0.3268 0.9398 (multiplicity 8)



(11)
This record from the Alexandria database describes YNpCoO6 after structural relaxation. The functional is GGA+U.

For the mass density, the calculation gives 6.67 g/cm³.

a = 5.6405 Å, b = 5.6405 Å, c = 8.6886 Å
α = 90.00°, β = 90.00°, γ = 120.00°
Space group P-31c (No. 163)
Symmetry-distinct sites (fractional):
Y1 0.3333 0.6667 0.2500 (multiplicity 2)
Np1 0.3333 0.6667 0.7500 (multiplicity 2)
Co1 0.0000 0.0000 0.0000 (multiplicity 2)
O1 0.0324 0.3507 0.6275 (multiplicity 12)



(12)
This record from the Alexandria database describes NpZnCo2O6 after structural relaxation. The functional is GGA+U.

For the mass density, the calculation gives 5.90 g/cm³.

a = 5.9602 Å, b = 5.9602 Å, c = 4.0892 Å
α = 90.00°, β = 90.00°, γ = 90.00°
Space group P4mm (No. 99)
Symmetry-distinct sites (fractional):
Np1 0.0000 0.0000 0.0000 (multiplicity 1)
Zn1 0.5000 0.5000 0.9598 (multiplicity 1)
Co1 0.0000 0.5000 0.0490 (multiplicity 2)
O1 0.0000 0.0000 0.5017 (multiplicity 1)
O2 0.2457 0.2457 0.0099 (multiplicity 4)
O3 0.5000 0.5000 0.4731 (multiplicity 1)



(13)
This record from the Alexandria database describes NpZn2CoO6 after structural relaxation. The functional is GGA+U.

For the mass density, the calculation gives 6.96 g/cm³.

a = 10.1326 Å, b = 9.0744 Å, c = 5.4782 Å
α = 90.00°, β = 98.15°, γ = 90.00°
Space group C2/c (No. 15)
Symmetry-distinct sites (fractional):
Np1 0.0000 0.2465 0.2500 (multiplicity 4)
Zn1 0.1902 0.0929 0.8060 (multiplicity 8)
Co1 0.0000 0.4129 0.7500 (multiplicity 4)
O1 0.1033 0.2559 0.6057 (multiplicity 8)
O2 0.1118 0.4235 0.1321 (multiplicity 8)
O3 0.1295 0.0920 0.1342 (multiplicity 8)



(14)
This record from the Alexandria database describes ZrNpCoO6 after structural relaxation. The functional is GGA+U.

For the mass density, the calculation gives 6.80 g/cm³.

a = 5.5397 Å, b = 5.5397 Å, c = 8.8818 Å
α = 90.00°, β = 90.00°, γ = 120.00°
Space group P-31c (No. 163)
Symmetry-distinct sites (fractional):
Zr1 0.3333 0.6667 0.2500 (multiplicity 2)
Np1 0.3333 0.6667 0.7500 (multiplicity 2)
Co1 0.0000 0.0000 0.0000 (multiplicity 2)
O1 0.0070 0.3471 0.6310 (multiplicity 12)



So what do the calculations give for raw total energy? Going down the list: -76.53; -64.58; -80.40; -90.79; -72.99; -98.04; -89.62; -73.67; -96.63; -92.53; -74.65; -67.61; -68.37; -78.17 eV per formula unit.